First-principles (PBE-GGA) data for an optimized crystal structure of YHfOF2, as listed in the Alexandria database.

## Properties
The formation energy (no corrections) is -2.184 eV per atom. The calculation puts the energy above the most stable polymorph in this dataset at 0.000 eV per atom. As for the space group: P4/mmm, No. 123. Its total energy is -7.21 eV/atom.

a b c (Å): 4.441 4.441 4.077
angles (deg): 90.00 90.00 90.00
Each line ends with the local moment (μB).
Fractional positions:
F 0.500 0.000 0.000  0.05
F 0.000 0.500 0.000  0.05
O 0.000 0.000 0.500  -0.03
Hf 0.000 0.000 0.000  0.61
Y 0.500 0.500 0.500  0.81